# 1
The following is a GGA-PBE calculation of a geometry-optimized LiNbCoSb structure, from OQMD via LeMat-Bulk.

Unit cell a=4.472 b=4.472 c=4.472 alpha=60.00 beta=60.00 gamma=60.00
Atoms (fractional coordinates):
Li (0.000, 0.000, 0.000)
Nb (0.250, 0.250, 0.250)
Co (0.750, 0.750, 0.750)
Sb (0.500, 0.500, 0.500)

The raw total energy is -0.414 Ry/atom.



# 2
The following is a GGA-PBE calculation of a geometry-optimized Pr3ZnIn2PdAu2 structure, from OQMD via LeMat-Bulk.

Unit cell a=4.089 b=7.834 c=7.834 alpha=120.14 beta=90.00 gamma=90.00
Atoms (fractional coordinates):
Pr (0.000, 0.000, 0.000)
Pr (0.000, 0.425, 0.825)
Pr (0.000, 0.825, 0.425)
Zn (0.500, 0.666, 0.666)
In (0.500, 0.175, 0.417)
In (0.500, 0.417, 0.175)
Pd (0.000, 0.433, 0.433)
Au (0.500, 0.084, 0.751)
Au (0.500, 0.751, 0.084)

The raw total energy is -0.320 Ry/atom.



# 3
The following is a GGA-PBE calculation of a geometry-optimized PrSbIr structure, from OQMD via LeMat-Bulk.

Unit cell a=7.563 b=7.563 c=4.168 alpha=90.00 beta=90.00 gamma=120.00
Atoms (fractional coordinates):
Pr (0.000, 0.596, 0.000)
Pr (0.404, 0.404, 0.000)
Pr (0.596, 0.000, 0.000)
Sb (0.000, 0.261, 0.500)
Sb (0.261, 0.000, 0.500)
Sb (0.739, 0.739, 0.500)
Ir (0.000, 0.000, 0.000)
Ir (0.333, 0.667, 0.500)
Ir (0.667, 0.333, 0.500)

The raw total energy is -0.492 Ry/atom.



# 4
The following is a GGA-PBE calculation of a geometry-optimized CsBeFeRe structure, from OQMD via LeMat-Bulk.

Unit cell a=4.452 b=4.452 c=4.452 alpha=60.00 beta=60.00 gamma=60.00
Atoms (fractional coordinates):
Cs (0.000, 0.000, 0.000)
Be (0.500, 0.500, 0.500)
Fe (0.750, 0.750, 0.750)
Re (0.250, 0.250, 0.250)

The raw total energy is -0.310 Ry/atom.



# 5
The following is a GGA-PBE calculation of a geometry-optimized CdAg2Pd structure, from OQMD via LeMat-Bulk.

Unit cell a=4.644 b=4.644 c=4.644 alpha=60.00 beta=60.00 gamma=60.00
Atoms (fractional coordinates):
Cd (0.000, 0.000, 0.000)
Ag (0.250, 0.250, 0.250)
Ag (0.500, 0.500, 0.500)
Pd (0.750, 0.750, 0.750)

For the formation energy, the calculation gives -155.3 meV per atom.



# 6
The following is a GGA-PBE calculation of a geometry-optimized CoGe structure, from OQMD via LeMat-Bulk.

Unit cell a=4.180 b=2.929 c=4.109 alpha=90.00 beta=90.00 gamma=90.00
Atoms (fractional coordinates):
Co (0.250, 0.000, 0.249)
Co (0.750, 0.000, 0.751)
Ge (0.250, 0.500, 0.750)
Ge (0.750, 0.500, 0.250)

The raw total energy is -0.433 Ry/atom.



# 7
The following is a GGA-PBE calculation of a geometry-optimized MgInReNi structure, from OQMD via LeMat-Bulk.

Unit cell a=4.480 b=4.480 c=4.480 alpha=60.00 beta=60.00 gamma=60.00
Atoms (fractional coordinates):
Mg (0.000, 0.000, 0.000)
In (0.250, 0.250, 0.250)
Re (0.750, 0.750, 0.750)
Ni (0.500, 0.500, 0.500)

The raw total energy is -0.373 Ry/atom.



# 8
The following is a GGA-PBE calculation of a geometry-optimized BeTlNiHg structure, from OQMD via LeMat-Bulk.

Unit cell a=4.526 b=4.526 c=4.526 alpha=60.00 beta=60.00 gamma=60.00
Atoms (fractional coordinates):
Be (0.000, 0.000, 0.000)
Tl (0.250, 0.250, 0.250)
Ni (0.500, 0.500, 0.500)
Hg (0.750, 0.750, 0.750)

The raw total energy is -0.184 Ry/atom.